# 1
Material: Y2VNiW
Method: DFT, GGA-PBE
State: optimized geometry

a b c (Å): 5.443 5.443 4.476
angles (deg): 90.00 90.00 90.00
Fractional coordinates of all 5 atoms:
Y1 0.000 0.500 0.000
Y2 0.500 0.000 0.000
V1 0.000 0.000 0.500
Ni1 0.500 0.500 0.500
W1 0.000 0.000 0.000

Calculated values
energy relative to the elements = 1.092 eV/atom
M_tot = 1.03 μB per cell
volume = 26.5 A^3/atom

# 2
Material: Y2VNi2
Method: DFT, GGA-PBE
State: optimized geometry

a b c (Å): 6.974 6.974 3.979
angles (deg): 90.00 90.00 90.00
Fractional coordinates of all 10 atoms:
Y1 0.179 0.321 0.000
Y2 0.321 0.821 0.000
Y3 0.679 0.179 0.000
Y4 0.821 0.679 0.000
V1 0.000 0.000 0.500
V2 0.500 0.500 0.500
Ni1 0.122 0.622 0.500
Ni2 0.378 0.122 0.500
Ni3 0.622 0.878 0.500
Ni4 0.878 0.378 0.500

Calculated values
energy relative to the elements = -0.120 eV/atom
M_tot = 6.08 μB per cell
volume = 19.3 A^3/atom

# 3
Material: YVNi2
Method: DFT, GGA-PBE
State: optimized geometry

a b c (Å): 8.168 8.168 8.168
angles (deg): 147.47 147.47 46.68
Fractional coordinates of all 8 atoms:
Y1 0.000 0.000 0.000
Y2 0.750 0.250 0.500
V1 0.250 0.750 0.500
V2 0.500 0.500 0.000
Ni1 0.326 0.625 0.201
Ni2 0.375 0.576 0.701
Ni3 0.424 0.125 0.799
Ni4 0.875 0.674 0.299

Calculated values
energy relative to the elements = 0.325 eV/atom
M_tot = 0.00 μB per cell
volume = 19.6 A^3/atom

# 4
Material: Y3VNi
Method: DFT, GGA-PBE
State: optimized geometry

a b c (Å): 5.209 5.209 5.209
angles (deg): 90.00 90.00 90.00
Fractional coordinates of all 5 atoms:
Y1 0.000 0.000 0.500
Y2 0.000 0.500 0.000
Y3 0.500 0.000 0.000
V1 0.500 0.500 0.500
Ni1 0.000 0.000 0.000

Calculated values
energy relative to the elements = 0.320 eV/atom
M_tot = 4.53 μB per cell
volume = 28.3 A^3/atom

# 5
Material: YVNi3
Method: DFT, GGA-PBE
State: optimized geometry

a b c (Å): 4.392 4.392 4.392
angles (deg): 90.00 90.00 90.00
Fractional coordinates of all 5 atoms:
Y1 0.000 0.000 0.000
V1 0.500 0.500 0.500
Ni1 0.000 0.500 0.500
Ni2 0.500 0.000 0.500
Ni3 0.500 0.500 0.000

Calculated values
energy relative to the elements = 0.260 eV/atom
M_tot = 0.40 μB per cell
volume = 16.9 A^3/atom

# 6
Material: YVNi2
Method: DFT, GGA-PBE
State: optimized geometry

a b c (Å): 4.499 4.499 4.499
angles (deg): 60.00 60.00 60.00
Fractional coordinates of all 4 atoms:
Y1 0.000 0.000 0.000
V1 0.500 0.500 0.500
Ni1 0.250 0.250 0.250
Ni2 0.750 0.750 0.750

Calculated values
energy relative to the elements = 0.012 eV/atom
M_tot = 2.77 μB per cell
volume = 16.1 A^3/atom

# 7
Material: YVNi
Method: DFT, GGA-PBE
State: optimized geometry

a b c (Å): 9.725 7.666 6.919
angles (deg): 83.47 51.55 44.98
Fractional coordinates of all 12 atoms:
Y1 0.017 0.749 0.251
Y2 0.251 0.983 0.017
Y3 0.749 0.017 0.983
Y4 0.983 0.251 0.749
V1 0.307 0.307 0.693
V2 0.425 0.575 0.425
V3 0.575 0.425 0.575
V4 0.693 0.693 0.307
Ni1 0.126 0.480 0.520
Ni2 0.480 0.126 0.874
Ni3 0.520 0.874 0.126
Ni4 0.874 0.520 0.480

Calculated values
energy relative to the elements = 0.219 eV/atom
M_tot = 0.00 μB per cell
volume = 19.2 A^3/atom

# 8
Material: YVNi3
Method: DFT, GGA-PBE
State: optimized geometry

a b c (Å): 5.783 5.783 5.388
angles (deg): 90.00 90.00 120.00
Fractional coordinates of all 10 atoms:
Y1 0.333 0.667 0.250
Y2 0.667 0.333 0.750
V1 0.000 0.000 0.000
V2 0.000 0.000 0.500
Ni1 0.195 0.389 0.750
Ni2 0.195 0.805 0.750
Ni3 0.389 0.195 0.250
Ni4 0.611 0.805 0.750
Ni5 0.805 0.195 0.250
Ni6 0.805 0.611 0.250

Calculated values
energy relative to the elements = -0.125 eV/atom
M_tot = 0.00 μB per cell
volume = 15.6 A^3/atom

In the order shown, the computed D(E_F) values come out to 1.1072 0.9242 0.9564 1.2406 1.0597 1.5067 0.9493 0.9237 states/eV/atom.